The following is a DFT calculation (GGA-PBE) of crystalline FeRe3S at its relaxed geometry.

Size of the total moment = 0.07 μB per cell
Raw formation energy = 6.41 eV/f.u.
Electronic total energy = -8.7043 eV/atom
Space group = No. 221

a b c (Å): 4.294 4.294 4.294
angles (deg): 90.00 90.00 90.00
Positions (direct):
Re  0.000  0.000  0.500
Fe  0.500  0.500  0.500
S  0.000  0.000  0.000
Re  0.500  0.000  0.000
Re  0.000  0.500  0.000